[1]
A plane-wave DFT calculation with GGA-PBE was carried out for a relaxed NaCa6Mg5 crystal.

Computed properties:
Crystal system ... monoclinic
Space-group type ... C2/m, No. 12
E_form ... -0.61 eV per formula unit
E ... -1.826 eV/atom

Lattice parameters (Å, degrees): 5.7064 7.8828 9.8276 113.66 106.03 90.00
With the nearest neighbours (Å) after each atom.
Element x y z (fractional)
Ca1 0.8302 0.5756 0.6604  7 Mg 3.42-3.50, 1 Na 3.54
Ca2 0.1698 0.9152 0.3396  7 Mg 3.42-3.50, 1 Na 3.54
Ca3 0.5000 0.7411 0.0001  6 Mg 3.43-3.51, 2 Na 3.51, 1 Ca 3.80
Ca4 0.5000 0.2589 0.9999  6 Mg 3.43-3.51, 2 Na 3.51, 1 Ca 3.80
Mg1 0.6659 0.1659 0.3322  8 Ca 3.42-3.51
Ca5 0.1698 0.4244 0.3396  7 Mg 3.42-3.50, 1 Na 3.54
Na1 0.0000 0.0000 0.0000  8 Ca 3.51-3.54
Ca6 0.8302 0.0848 0.6604  7 Mg 3.42-3.50, 1 Na 3.54
Mg2 0.3331 0.3334 0.6663  8 Ca 3.44-3.45
Mg3 0.6669 0.6666 0.3337  8 Ca 3.44-3.45
Mg4 0.3341 0.8341 0.6678  8 Ca 3.42-3.51
Mg5 0.0000 0.5000 0.0000  8 Ca 3.43-3.50

---

[2]
A plane-wave DFT calculation with GGA-PBE was carried out for a relaxed SbMoPb2 crystal.

Computed properties:
Crystal system ... orthorhombic
Space-group type ... Imm2, No. 44
E ... -5.182 eV/atom
Uncorrected formation energy ... 39.6 kJ/mol of atoms

Lattice parameters (Å, degrees): 7.3545 7.3545 7.3545 153.57 143.07 45.98
With the nearest neighbours (Å) after each atom.
Element x y z (fractional)
Pb1 0.7444 0.2444 0.5000  4 Mo 2.89
Pb2 0.0634 0.0634 0.0000  2 Mo 3.22, 4 Pb 3.36-3.38, 4 Sb 3.42
Mo1 0.2659 0.7659 0.5000  2 Sb 2.75, 4 Pb 2.89
Sb1 0.4264 0.4264 0.0000  2 Mo 2.75

---

[3]
A plane-wave DFT calculation with GGA-PBE was carried out for a relaxed AcPm2Nd5 crystal.

Computed properties:
Crystal system ... orthorhombic
Space-group type ... Pbam, No. 55
E_form ... 0.17 eV per formula unit
Energy above the most stable polymorph in this dataset ... 0.0 meV per atom
E ... -4.660 eV/atom

Lattice parameters (Å, degrees): 5.2482 7.4182 14.8522 90.00 90.00 90.00
With the nearest neighbours (Å) after each atom.
Element x y z (fractional)
Nd1 0.5000 0.7472 0.6272  4 Pm 3.65-3.78, 6 Nd 3.67-3.72, 2 Ac 3.74
Pm1 0.5000 0.2485 0.1272  10 Nd 3.65-3.78, 2 Ac 3.73
Nd2 0.0000 0.0010 0.2473  4 Pm 3.67-3.72, 7 Nd 3.67-3.72, 1 Ac 3.75
Nd3 0.0000 0.5000 0.5000  6 Nd 3.67-3.72, 2 Ac 3.71, 4 Pm 3.72
Pm2 0.5000 0.7515 0.8728  10 Nd 3.65-3.78, 2 Ac 3.73
Ac1 0.0000 0.0000 0.5000  8 Nd 3.71-3.75, 4 Pm 3.73
Nd4 0.0000 0.5010 0.2527  4 Pm 3.67-3.72, 7 Nd 3.67-3.72, 1 Ac 3.75
Nd5 0.0000 0.0000 0.0000  6 Nd 3.67-3.72, 2 Ac 3.71, 4 Pm 3.72
Pm3 0.5000 0.7485 0.3728  10 Nd 3.65-3.78, 2 Ac 3.73
Nd6 0.0000 0.4990 0.7473  4 Pm 3.67-3.72, 7 Nd 3.67-3.72, 1 Ac 3.75
Nd7 0.5000 0.7528 0.1272  4 Pm 3.65-3.78, 6 Nd 3.67-3.72, 2 Ac 3.74
Ac2 0.0000 0.5000 0.0000  8 Nd 3.71-3.75, 4 Pm 3.73
Nd8 0.0000 0.9990 0.7527  4 Pm 3.67-3.72, 7 Nd 3.67-3.72, 1 Ac 3.75
Nd9 0.5000 0.2528 0.3728  4 Pm 3.65-3.78, 6 Nd 3.67-3.72, 2 Ac 3.74
Nd10 0.5000 0.2472 0.8728  4 Pm 3.65-3.78, 6 Nd 3.67-3.72, 2 Ac 3.74
Pm4 0.5000 0.2515 0.6272  10 Nd 3.65-3.78, 2 Ac 3.73

---

[4]
A plane-wave DFT calculation with GGA-PBE was carried out for a relaxed Pr8HRh5 crystal.

Computed properties:
Crystal system ... tetragonal
Space-group type ... I-4, No. 82
E ... -6.138 eV/atom

Lattice parameters (Å, degrees): 7.7173 7.7173 7.7173 110.19 108.03 110.19
With the nearest neighbours (Å) after each atom.
Element x y z (fractional)
Rh1 0.7618 0.6298 0.6392  4 Pr 2.82-2.89
Pr1 0.5199 0.6330 0.2797  3 Rh 2.84-2.89
Pr2 0.6467 0.3670 0.8868  3 Rh 2.84-2.89
H1 0.2500 0.5000 0.7500  4 Pr 2.75
Pr3 0.7203 0.2402 0.3533  3 Rh 2.84-2.89
Rh2 0.5000 0.0000 0.5000  4 Pr 2.84
Pr4 0.2434 0.2531 0.3898  1 H 2.75, 2 Rh 2.82-2.86
Pr5 0.1132 0.7598 0.4801  3 Rh 2.84-2.89
Rh3 0.3608 0.1226 0.9906  4 Pr 2.82-2.89
Pr6 0.1367 0.7469 0.9903  1 H 2.75, 2 Rh 2.82-2.86
Pr7 0.6102 0.8537 0.8633  1 H 2.75, 2 Rh 2.82-2.86
Rh4 0.0094 0.3702 0.1320  4 Pr 2.82-2.89
Rh5 0.8680 0.8774 0.2382  4 Pr 2.82-2.89
Pr8 0.0097 0.1463 0.7566  1 H 2.75, 2 Rh 2.82-2.86

---

[5]
A plane-wave DFT calculation with GGA-PBE was carried out for a relaxed Zr2ScHRh crystal.

Computed properties:
Crystal system ... tetragonal
Space-group type ... P4/mmm, No. 123
E ... -7.148 eV/atom

Lattice parameters (Å, degrees): 4.3069 4.3069 4.4464 90.00 90.00 90.00
With the nearest neighbours (Å) after each atom.
Element x y z (fractional)
Zr1 0.5000 0.0000 0.0000  2 H 2.15
Rh1 0.5000 0.5000 0.5000  4 Sc 3.05, 8 Zr 3.10
H1 0.0000 0.0000 0.0000  4 Zr 2.15, 2 Sc 2.22
Sc1 0.0000 0.0000 0.5000  2 H 2.22
Zr2 0.0000 0.5000 0.0000  2 H 2.15

---

[6]
A plane-wave DFT calculation with GGA-PBE was carried out for a relaxed NbCdRe2 crystal.

Computed properties:
Crystal system ... tetragonal
Space-group type ... I-42d, No. 122
E_form ... 4.32 eV per formula unit
E ... -7.890 eV/atom

Lattice parameters (Å, degrees): 7.4230 7.4230 5.9160 51.14 51.14 90.00
With the nearest neighbours (Å) after each atom.
Element x y z (fractional)
Re1 0.1522 0.6250 0.2500  2 Nb 2.58, 2 Re 2.76, 2 Cd 2.85
Cd1 0.7500 0.2500 0.5000  2 Nb 2.73, 4 Re 2.85
Re2 0.3750 0.4022 0.7500  2 Nb 2.58, 2 Re 2.76, 2 Cd 2.85
Nb1 0.2500 0.7500 0.5000  4 Re 2.58, 2 Cd 2.73
Re3 0.5978 0.1250 0.2500  2 Nb 2.58, 2 Re 2.76, 2 Cd 2.85
Cd2 0.0000 0.0000 0.0000  2 Nb 2.73, 4 Re 2.85
Re4 0.8750 0.8478 0.7500  2 Nb 2.58, 2 Re 2.76, 2 Cd 2.85
Nb2 0.5000 0.5000 0.0000  4 Re 2.58, 2 Cd 2.73

---

[7]
A plane-wave DFT calculation with GGA-PBE was carried out for a relaxed PmHfTc4 crystal.

Computed properties:
Crystal system ... cubic
Space-group type ... F-43m, No. 216
E_form ... -0.53 eV per formula unit
E ... -9.450 eV/atom

Lattice parameters (Å, degrees): 5.3633 5.3633 5.3633 60.00 60.00 60.00
With the nearest neighbours (Å) after each atom.
Element x y z (fractional)
Pm1 0.0000 0.0000 0.0000  12 Tc 3.15, 4 Hf 3.28
Tc1 0.6246 0.1263 0.6246  6 Tc 2.67-2.69
Hf1 0.2500 0.2500 0.2500  12 Tc 3.14, 4 Pm 3.28
Tc2 0.6246 0.6246 0.1263  6 Tc 2.67-2.69
Tc3 0.6246 0.6246 0.6246  6 Tc 2.67-2.69
Tc4 0.1263 0.6246 0.6246  6 Tc 2.67-2.69

---

[8]
A plane-wave DFT calculation with GGA-PBE was carried out for a relaxed HgSbSeN2 crystal.

Computed properties:
Crystal system ... tetragonal
Space-group type ... P4/mmm, No. 123
Energy above the most stable polymorph in this dataset ... 662.6 meV per atom
E ... -3.123 eV/atom
Uncorrected formation energy ... 172.6 kJ/mol of atoms

Lattice parameters (Å, degrees): 4.2860 4.2860 5.9411 90.00 90.00 90.00
With the nearest neighbours (Å) after each atom.
Element x y z (fractional)
N1 0.5000 0.0000 0.0000  2 Hg 2.14
Se1 0.0000 0.0000 0.5000  2 Hg 2.97, 4 Sb 3.03
Hg1 0.0000 0.0000 0.0000  4 N 2.14
Sb1 0.5000 0.5000 0.5000  4 Se 3.03
N2 0.0000 0.5000 0.0000  2 Hg 2.14

---

[9]
A plane-wave DFT calculation with GGA-PBE was carried out for a relaxed La3PrPb2O crystal.

Computed properties:
Crystal system ... orthorhombic
Space-group type ... Immm, No. 71
E ... -5.765 eV/atom
Uncorrected formation energy ... -116.0 kJ/mol of atoms

Lattice parameters (Å, degrees): 4.9045 4.8454 9.5804 104.65 104.83 90.00
With the nearest neighbours (Å) after each atom.
Element x y z (fractional)
La1 0.0000 0.5000 0.0000  2 O 2.42
La2 0.1743 0.1743 0.3486  1 O 3.12, 1 Pb 3.34
Pb1 0.6387 0.6387 0.2774  7 La 3.34-3.51, 2 Pr 3.47
Pr1 0.5000 0.0000 0.0000  2 O 2.45
O1 0.0000 0.0000 0.0000  2 La 2.42, 2 Pr 2.45
La3 0.8257 0.8257 0.6514  1 O 3.12, 1 Pb 3.34
Pb2 0.3613 0.3613 0.7226  7 La 3.34-3.51, 2 Pr 3.47

---

[10]
A plane-wave DFT calculation with GGA-PBE was carried out for a relaxed PmNiGeH crystal.

Computed properties:
Crystal system ... trigonal
Space-group type ... P3m1, No. 156
E ... -5.288 eV/atom

Lattice parameters (Å, degrees): 4.1143 4.1154 4.2114 90.00 90.00 119.99
With the nearest neighbours (Å) after each atom.
Element x y z (fractional)
H1 0.2386 0.4772 0.2408  1 Ni 1.59
Ni1 0.2385 0.4771 0.8622  1 H 1.59
Pm1 0.5719 0.1438 0.3263  3 H 2.40
Ge1 0.9052 0.8105 0.8097  3 Ni 2.39

---

[11]
A plane-wave DFT calculation with GGA-PBE was carried out for a relaxed SrSbSe crystal.

Computed properties:
Crystal system ... hexagonal
Space-group type ... P-6m2, No. 187
E ... -3.790 eV/atom
Uncorrected formation energy ... -66.9 kJ/mol of atoms

Lattice parameters (Å, degrees): 5.0761 5.0761 4.0459 90.00 90.00 120.00
With the nearest neighbours (Å) after each atom.
Element x y z (fractional)
Sb1 0.0000 0.0000 0.1672  3 Se 2.93
Sr1 0.3333 0.6667 0.6666  6 Sb 3.56, 6 Se 3.56
Se1 0.6667 0.3333 0.1662  3 Sb 2.93

---

[12]
A plane-wave DFT calculation with GGA-PBE was carried out for a relaxed NaCrSe2 crystal.

Computed properties:
Crystal system ... tetragonal
Space-group type ... I-42d, No. 122
E ... -5.094 eV/atom
Uncorrected formation energy ... -59.4 kJ/mol of atoms

Lattice parameters (Å, degrees): 6.8320 6.8320 6.5889 58.77 58.77 90.00
With the nearest neighbours (Å) after each atom.
Element x y z (fractional)
Cr1 0.7500 0.2500 0.5000  4 Se 2.40
Cr2 0.0000 0.0000 0.0000  4 Se 2.40
Se1 0.3750 0.3104 0.7500  2 Cr 2.40
Na1 0.5000 0.5000 0.0000  4 Se 2.97
Se2 0.6896 0.1250 0.2500  2 Cr 2.40
Na2 0.2500 0.7500 0.5000  4 Se 2.97
Se3 0.0604 0.6250 0.2500  2 Cr 2.40
Se4 0.8750 0.9396 0.7500  2 Cr 2.40

---

The evaluated total magnetic moment for the records listed, in turn: 0.00; 0.00; 0.00; 0.00; 0.00; 0.00; 0.00; 2.57; 1.33; 0.00; 0.00; 3.00 μB/f.u..